P) KHgPO: relaxed, PBE.

The structure in extended XYZ format:
```
8
Lattice="-0.7580 -2.0749 3.7050 2.1674 -6.5750 -3.2387 4.6077 0.8265 1.4055" Properties=species:S:1:pos:R:3 pbc="T T T"
K 2.7265 -3.0449 1.3636
K 0.9937 -5.1904 -0.1924
P -0.2675 -1.3606 1.6943
P 3.9901 -6.8743 -0.5224
Hg 0.5066 -1.5369 -0.7570
Hg 3.9643 -4.6249 -1.7790
O 2.2462 -3.0791 -1.2648
O 4.5500 -2.6655 -0.5619
```

## Properties
ρ (Mg/m³): 5.91
Calculated volume (Å³/atom): 20.143



Q) KHgPO: relaxed, PBE.

The structure in extended XYZ format:
```
8
Lattice="4.8511 0.0000 0.0000 0.0000 4.8511 0.0000 0.0000 0.0000 6.6190" Properties=species:S:1:pos:R:3 pbc="T T T"
Hg 2.4255 2.4255 3.3095
Hg 0.0000 0.0000 3.3095
K 2.4255 0.0000 5.7126
K 0.0000 2.4255 0.9063
P 0.0000 2.4255 4.5354
P 2.4255 0.0000 2.0836
O 0.0000 0.0000 0.0000
O 2.4255 2.4255 0.0000
```

## Properties
ρ (Mg/m³): 6.11
Calculated volume (Å³/atom): 19.470



R) KHgPO: relaxed, PBE.

The structure in extended XYZ format:
```
8
Lattice="3.0863 -3.0863 0.0000 3.0863 3.0863 0.0000 0.0000 0.0000 9.2049" Properties=species:S:1:pos:R:3 pbc="T T T"
P 4.6294 0.0000 0.4371
P 1.5432 0.0000 8.7678
K 3.0863 -1.5431 4.6024
K 3.0863 1.5431 4.6024
O 3.0863 -1.5431 0.0000
O 3.0863 1.5431 0.0000
Hg 1.5432 0.0000 2.1542
Hg 4.6294 0.0000 7.0507
```

## Properties
ρ (Mg/m³): 5.43
Calculated volume (Å³/atom): 21.919



S) KHgPO: relaxed, PBE.

The structure in extended XYZ format:
```
8
Lattice="-1.0723 3.1198 -0.4246 -5.1312 -2.8001 -7.6164 -4.1295 -0.9911 3.1464" Properties=species:S:1:pos:R:3 pbc="T T T"
K -8.9181 -1.8290 -3.9449
K -2.9748 0.7831 0.2390
P -4.0882 -1.6774 -2.0010
P -6.7291 -2.4874 -1.2829
Hg -5.3889 -2.3879 -3.9365
Hg -5.4241 -1.7759 0.6493
O -6.7314 -1.2671 -5.3392
O -5.1596 0.2218 1.6318
```

## Properties
ρ (Mg/m³): 5.64
Calculated volume (Å³/atom): 21.098



Out of the structures above, which one is the most stable? Solution: P).